No. 1
Mg7In4Sn | PBE | optimized geometry

Structure (POSCAR):
```
Mg7In4Sn
1.0
5.4603 0.0000 0.0000
2.7301 8.2546 -0.2678
2.7301 0.1250 6.9364
Sn Mg In
1 7 4
Direct
0.0000 0.0000 0.0000 Sn
0.9415 0.3138 0.8032 Mg
0.2201 0.1418 0.4179 Mg
0.0585 0.6862 0.1968 Mg
0.3424 0.5939 0.7213 Mg
0.7799 0.8582 0.5821 Mg
0.6576 0.4061 0.2787 Mg
0.5000 0.0000 0.0000 Mg
0.2965 0.3531 0.0538 In
0.5775 0.2154 0.6296 In
0.4225 0.7846 0.3704 In
0.7035 0.6469 0.9462 In
```

Magnetic moment (μB/cell): 0.00
Crystal system: monoclinic
ΔH_f (0 K) (meV/atom): 53
Polymorph energy (0 for the lowest one) (eV/atom): 0.1126

No. 2
TbDyErN3 | PBE | optimized geometry

Structure (POSCAR):
```
TbDyErN3
1.0
-0.9952 -2.2024 2.4290
-3.3361 -2.9031 -3.9991
7.8050 -4.3628 -0.7579
Er Tb N Dy
2 2 6 2
Direct
0.2500 0.1541 0.6372 Er
0.7500 0.8459 0.3628 Er
0.2500 0.3417 0.3019 Tb
0.7500 0.6583 0.6981 Tb
0.2500 0.7510 0.4996 N
0.2500 0.9638 0.8429 N
0.7500 0.0362 0.1571 N
0.2500 0.4642 0.8279 N
0.7500 0.5358 0.1721 N
0.7500 0.2490 0.5004 N
0.7500 0.2313 0.9542 Dy
0.2500 0.7687 0.0458 Dy
```

Magnetic moment (μB/cell): 0.00
Crystal system: monoclinic
Energy relative to the elements, uncorrected (eV/atom): -1.483

No. 3
AcErIn2 | PBE | optimized geometry

Structure (POSCAR):
```
AcErIn2
1.0
-1.4051 -3.0410 -1.8804
-0.3123 -3.3867 1.7862
-9.8808 0.3005 2.9733
In Ac Er
2 1 1
Direct
0.2566 0.2566 0.2301 In
0.7434 0.7434 0.7699 In
0.5000 0.5000 0.5000 Ac
0.0000 0.0000 0.0000 Er
```

Magnetic moment (μB/cell): 0.00
Crystal system: trigonal
ΔH_f (0 K) (meV/atom): -246

No. 4
AcNd9In2 | PBE | optimized geometry

Structure (POSCAR):
```
AcNd9In2
1.0
5.0522 0.0000 0.0000
0.0000 5.0522 0.0000
0.0000 0.0000 15.5320
Nd In Ac
9 2 1
Direct
0.5000 0.0000 0.5000 Nd
0.0000 0.5000 0.1796 Nd
0.5000 0.5000 0.0000 Nd
0.5000 0.0000 0.1796 Nd
0.5000 0.5000 0.3425 Nd
0.5000 0.5000 0.6575 Nd
0.0000 0.5000 0.5000 Nd
0.5000 0.0000 0.8204 Nd
0.0000 0.5000 0.8204 Nd
0.0000 0.0000 0.3399 In
0.0000 0.0000 0.6601 In
0.0000 0.0000 0.0000 Ac
```

Magnetic moment (μB/cell): 0.00
Crystal system: tetragonal
ΔH_f (0 K) (meV/atom): -160

No. 5
RbMnAsSe3 | PBE | optimized geometry

Structure (POSCAR):
```
RbMnAsSe3
1.0
3.5240 0.0000 0.0000
0.0000 8.7881 -0.4320
0.0000 -2.7178 9.7443
Mn Se As Rb
2 6 2 2
Direct
0.2500 0.6689 0.1573 Mn
0.7500 0.3311 0.8427 Mn
0.2500 0.5462 0.8940 Se
0.2500 0.1519 0.9086 Se
0.7500 0.4538 0.1060 Se
0.7500 0.3779 0.6019 Se
0.2500 0.6221 0.3981 Se
0.7500 0.8481 0.0914 Se
0.2500 0.1806 0.6680 As
0.7500 0.8194 0.3320 As
0.7500 0.7954 0.7169 Rb
0.2500 0.2046 0.2831 Rb
```

Magnetic moment (μB/cell): 2.58
Crystal system: monoclinic
Energy relative to the elements, uncorrected (eV/atom): -0.384

No. 6
Dy3Sb2P | PBE | optimized geometry

Structure (POSCAR):
```
Dy3Sb2P
1.0
-3.5223 -0.9896 2.2066
2.1006 -3.1835 1.9255
3.2417 7.7314 4.5057
Dy Sb P
3 2 1
Direct
0.5896 0.5909 0.1846 Dy
0.9341 0.9359 0.8740 Dy
0.2790 0.2803 0.5633 Dy
0.7650 0.7663 0.5354 Sb
0.1036 0.1049 0.2126 Sb
0.4341 0.4358 0.8740 P
```

Magnetic moment (μB/cell): 0.00
Crystal system: tetragonal
Energy relative to the elements, uncorrected (eV/atom): -1.234
Polymorph energy (0 for the lowest one) (eV/atom): 0.0087